Entry 1:
Entry from Alexandria via LeMat-Bulk: EuErGaCu after structural relaxation (GGA-PBE).

Calculated values
* VASP energy: -5.8009 eV/atom

Cell lengths 5.073, 5.073, 5.073 Å; angles 60.00, 60.00, 60.00 degrees
Element x y z (fractional)
Ga (0.750, 0.750, 0.750)
Eu (0.000, 0.000, 0.000)
Cu (0.250, 0.250, 0.250)
Er (0.500, 0.500, 0.500)


Entry 2:
Entry from Alexandria via LeMat-Bulk: K2CdAu2 after structural relaxation (GGA-PBE).

Calculated values
* polymorph energy (0 for the lowest one): 0 meV per atom

Cell lengths 6.602, 6.578, 8.374 Å; angles 100.29, 90.00, 120.12 degrees
Element x y z (fractional)
Cd (0.089, 0.000, 0.750)
Cd (0.911, 0.000, 0.250)
K (0.214, 0.707, 0.364)
K (0.786, 0.293, 0.636)
K (0.507, 0.293, 0.136)
K (0.493, 0.707, 0.864)
Au (0.294, 0.284, 0.509)
Au (0.990, 0.284, 0.009)
Au (0.010, 0.716, 0.991)
Au (0.706, 0.716, 0.491)


Entry 3:
Entry from Alexandria via LeMat-Bulk: NaMg2W2 after structural relaxation (GGA-PBE).

Calculated values
* polymorph energy (0 for the lowest one): 681 meV per atom

Cell lengths 4.191, 4.191, 7.007 Å; angles 72.60, 72.60, 90.00 degrees
Element x y z (fractional)
Na (0.000, 0.000, 0.000)
Mg (0.250, 0.750, 0.500)
Mg (0.750, 0.250, 0.500)
W (0.412, 0.412, 0.177)
W (0.588, 0.588, 0.823)